# 1
The following is a DFT calculation (PBE) of crystalline SiHgH2 at its relaxed geometry.

Computed properties:
raw total energy	-2.6364	eV per atom
M_tot	0.0	Bohr magnetons per cell

a = 5.527 Å, b = 5.527 Å, c = 7.926 Å
α = 90.00°, β = 90.00°, γ = 90.00°
Space group I-42d (No. 122)
Symmetry-distinct sites (fractional):
Si 0.000 0.000 0.000
Hg 0.000 0.000 0.500
H 0.003 0.750 0.125

***

# 2
The following is a DFT calculation (PBE) of crystalline SrTaAg at its relaxed geometry.

Computed properties:
formation energy	0.46	eV per atom
raw total energy	-5.0051	eV per atom
M_tot	0.0	Bohr magnetons per cell

a = 8.465 Å, b = 3.123 Å, c = 10.920 Å
α = 90.00°, β = 90.00°, γ = 90.00°
Space group Pnma (No. 62)
Symmetry-distinct sites (fractional):
Sr 0.168 0.250 0.101
Ta 0.056 0.250 0.405
Ag 0.154 0.250 0.808

***

# 3
The following is a DFT calculation (PBE) of crystalline Nd2Al2CdRh5 at its relaxed geometry.

Computed properties:
formation energy	-0.69	eV per atom
raw total energy	-6.1565	eV per atom
M_tot	0.0	Bohr magnetons per cell

a = 10.083 Å, b = 10.083 Å, c = 3.556 Å
α = 90.00°, β = 90.00°, γ = 90.00°
Space group P4/mbm (No. 127)
Symmetry-distinct sites (fractional):
Nd 0.178 0.322 0.000
Al 0.120 0.620 0.000
Cd 0.000 0.000 0.000
Rh 0.000 0.500 0.500
Rh 0.067 0.786 0.500

***

# 4
The following is a DFT calculation (PBE) of crystalline BaZrRh2 at its relaxed geometry.

Computed properties:
formation energy	-0.44	eV per atom
raw total energy	-6.7299	eV per atom
M_tot	0.0	Bohr magnetons per cell

a = 3.415 Å, b = 3.343 Å, c = 7.717 Å
α = 90.00°, β = 90.12°, γ = 90.00°
Space group P2/m (No. 10)
Symmetry-distinct sites (fractional):
Ba 0.000 0.000 0.000
Zr 0.000 0.000 0.500
Rh 0.500 0.500 0.309

***

# 5
The following is a DFT calculation (PBE) of crystalline Sc2InCo at its relaxed geometry.

Computed properties:
formation energy	-0.25	eV per atom
raw total energy	-5.8739	eV per atom
M_tot	0.1	Bohr magnetons per cell

a = 11.320 Å, b = 3.160 Å, c = 4.764 Å
α = 90.00°, β = 114.84°, γ = 90.00°
Space group Cm (No. 8)
Symmetry-distinct sites (fractional):
Sc 0.000 0.000 0.000
Sc 0.198 0.000 0.698
In 0.408 0.000 0.408
Co 0.198 0.500 0.197

***

# 6
The following is a DFT calculation (PBE) of crystalline YCrCd at its relaxed geometry.

Computed properties:
formation energy	0.19	eV per atom
raw total energy	-5.4767	eV per atom
M_tot	8.0	Bohr magnetons per cell

a = 3.719 Å, b = 3.719 Å, c = 9.924 Å
α = 90.00°, β = 90.00°, γ = 90.00°
Space group I4mm (No. 107)
Symmetry-distinct sites (fractional):
Y 0.000 0.000 0.000
Cr 0.000 0.000 0.330
Cd 0.000 0.000 0.685

***

# 7
The following is a DFT calculation (PBE) of crystalline B3SCl at its relaxed geometry.

Computed properties:
formation energy without anion corrections	1.909	eV/atom
raw total energy	-3.2925	eV per atom
M_tot	0.0	Bohr magnetons per cell

a = 3.969 Å, b = 3.969 Å, c = 3.969 Å
α = 90.00°, β = 90.00°, γ = 90.00°
Space group Pm-3m (No. 221)
Symmetry-distinct sites (fractional):
B 0.000 0.000 0.500
S 0.000 0.000 0.000
Cl 0.500 0.500 0.500

***

# 8
The following is a DFT calculation (PBE) of crystalline Te2PAu at its relaxed geometry.

Computed properties:
formation energy without anion corrections	0.405	eV/atom
raw total energy	-3.3381	eV per atom
M_tot	0.0	Bohr magnetons per cell

a = 3.857 Å, b = 3.857 Å, c = 16.592 Å
α = 90.00°, β = 90.00°, γ = 90.00°
Space group I-4m2 (No. 119)
Symmetry-distinct sites (fractional):
Te 0.000 0.000 0.000
Te 0.000 0.500 0.250
P 0.000 0.000 0.500
Au 0.000 0.500 0.750

***

# 9
The following is a DFT calculation (PBE) of crystalline NdNiSnPt at its relaxed geometry.

Computed properties:
formation energy	-0.57	eV per atom
raw total energy	-5.7229	eV per atom
M_tot	0.0	Bohr magnetons per cell

a = 6.824 Å, b = 6.824 Å, c = 6.824 Å
α = 90.00°, β = 90.00°, γ = 90.00°
Space group F-43m (No. 216)
Symmetry-distinct sites (fractional):
Nd 0.000 0.000 0.000
Ni 0.250 0.250 0.250
Sn 0.000 0.000 0.500
Pt 0.250 0.250 0.750

***

# 10
The following is a DFT calculation (PBE) of crystalline K2TiGaS5 at its relaxed geometry.

Computed properties:
formation energy without anion corrections	-1.005	eV/atom
raw total energy	-4.7557	eV per atom
M_tot	0.4	Bohr magnetons per cell

a = 3.611 Å, b = 18.873 Å, c = 13.540 Å
α = 90.00°, β = 90.00°, γ = 90.00°
Space group Cmc2_1 (No. 36)
Symmetry-distinct sites (fractional):
K 0.000 0.123 0.000
K 0.000 0.136 0.622
Ti 0.000 0.217 0.329
Ga 0.000 0.429 0.748
S 0.000 0.067 0.353
S 0.000 0.295 0.947
S 0.000 0.309 0.702
S 0.000 0.333 0.316
S 0.000 0.495 0.612

***

# 11
The following is a DFT calculation (PBE) of crystalline Hf3BiBr at its relaxed geometry.

Computed properties:
formation energy without anion corrections	1.493	eV/atom
raw total energy	-5.5903	eV per atom
M_tot	3.8	Bohr magnetons per cell

a = 5.468 Å, b = 5.468 Å, c = 5.468 Å
α = 90.00°, β = 90.00°, γ = 90.00°
Space group Pm-3m (No. 221)
Symmetry-distinct sites (fractional):
Hf 0.000 0.000 0.500
Bi 0.000 0.000 0.000
Br 0.500 0.500 0.500

***

# 12
The following is a DFT calculation (PBE) of crystalline RbNa2CdAg at its relaxed geometry.

Computed properties:
formation energy	0.01	eV per atom
raw total energy	-1.4654	eV per atom
M_tot	0.0	Bohr magnetons per cell

a = 5.795 Å, b = 5.795 Å, c = 5.523 Å
α = 90.00°, β = 90.00°, γ = 90.00°
Space group P4/mmm (No. 123)
Symmetry-distinct sites (fractional):
Rb 0.000 0.000 0.000
Na 0.000 0.500 0.500
Cd 0.500 0.500 0.000
Ag 0.500 0.500 0.500

***

# 13
The following is a DFT calculation (PBE) of crystalline Tb4Y15Tm at its relaxed geometry.

Computed properties:
formation energy	0.02	eV per atom
raw total energy	-5.9746	eV per atom
M_tot	0.0	Bohr magnetons per cell

a = 5.052 Å, b = 5.052 Å, c = 25.260 Å
α = 90.00°, β = 90.00°, γ = 90.00°
Space group P4/mmm (No. 123)
Symmetry-distinct sites (fractional):
Tb 0.000 0.000 0.100
Tb 0.000 0.000 0.300
Y 0.000 0.500 0.000
Y 0.000 0.500 0.200
Y 0.000 0.500 0.401
Y 0.500 0.500 0.100
Y 0.500 0.500 0.301
Y 0.500 0.500 0.500
Tm 0.000 0.000 0.500

***

# 14
The following is a DFT calculation (PBE) of crystalline La3BiP2 at its relaxed geometry.

Computed properties:
formation energy	-1.12	eV per atom
raw total energy	-6.0341	eV per atom
M_tot	0.0	Bohr magnetons per cell

a = 4.870 Å, b = 14.666 Å, c = 10.491 Å
α = 90.00°, β = 90.00°, γ = 90.00°
Space group Cmcm (No. 63)
Symmetry-distinct sites (fractional):
La 0.000 0.092 0.250
La 0.000 0.381 0.058
Bi 0.000 0.232 0.750
P 0.000 0.000 0.000
P 0.000 0.492 0.750

***

# 15
The following is a DFT calculation (PBE) of crystalline SmDy6Y3 at its relaxed geometry.

Computed properties:
formation energy	0.29	eV per atom
raw total energy	-4.8858	eV per atom
M_tot	0.0	Bohr magnetons per cell

a = 9.8390 Å, b = 9.8390 Å, c = 11.7056 Å
α = 90.00°, β = 90.00°, γ = 120.00°
Space group R3 (No. 146, hexagonal axes)
Symmetry-distinct sites (fractional):
Sm 0.0000 0.0000 0.0000
Dy 0.9995 0.6625 0.1739
Dy 0.0010 0.3381 0.6732
Y 0.0000 0.0000 0.2451
Y 0.0000 0.0000 0.4980
Y 0.0000 0.0000 0.7424

***

# 16
The following is a DFT calculation (PBE) of crystalline Y2ThF at its relaxed geometry.

Computed properties:
formation energy without anion corrections	-1.151	eV/atom
raw total energy	-6.7062	eV per atom
M_tot	0.0	Bohr magnetons per cell

a = 3.6232 Å, b = 3.6232 Å, c = 26.0594 Å
α = 90.00°, β = 90.00°, γ = 120.00°
Space group R-3m (No. 166, hexagonal axes)
Symmetry-distinct sites (fractional):
Y 0.0000 0.0000 0.2277
Th 0.0000 0.0000 0.0000
F 0.0000 0.0000 0.5000

***

# 17
The following is a DFT calculation (PBE) of crystalline NdErTm5 at its relaxed geometry.

Computed properties:
formation energy	1.03	eV per atom
raw total energy	-3.5017	eV per atom
M_tot	0.0	Bohr magnetons per cell

a = 7.966 Å, b = 11.648 Å, c = 6.119 Å
α = 90.00°, β = 90.00°, γ = 90.00°
Space group Imm2 (No. 44)
Symmetry-distinct sites (fractional):
Nd 0.000 0.000 0.000
Er 0.000 0.500 0.259
Tm 0.000 0.000 0.527
Tm 0.000 0.243 0.271
Tm 0.180 0.500 0.763

***

# 18
The following is a DFT calculation (PBE) of crystalline K3Se2O8 at its relaxed geometry.

Computed properties:
formation energy without anion corrections	-1.109	eV/atom
raw total energy	-4.9492	eV per atom
M_tot	1.2	Bohr magnetons per cell

a = 6.5629 Å, b = 6.5629 Å, c = 7.7976 Å
α = 90.00°, β = 90.00°, γ = 120.00°
Space group P-3m1 (No. 164)
Symmetry-distinct sites (fractional):
K 0.0000 0.0000 0.0000
K 0.3333 0.6667 0.1965
Se 0.3333 0.6667 0.7406
O 0.1956 0.3912 0.8176
O 0.3333 0.6667 0.5277

***

# 19
The following is a DFT calculation (PBE) of crystalline TiRu2Se at its relaxed geometry.

Computed properties:
formation energy without anion corrections	0.395	eV/atom
raw total energy	-7.0877	eV per atom
M_tot	0.0	Bohr magnetons per cell

a = 5.543 Å, b = 5.543 Å, c = 10.922 Å
α = 90.00°, β = 90.00°, γ = 90.00°
Space group I-42d (No. 122)
Symmetry-distinct sites (fractional):
Ti 0.000 0.000 0.000
Ru 0.242 0.250 0.625
Se 0.000 0.000 0.500

***

# 20
The following is a DFT calculation (PBE) of crystalline Sm4Cd5Ge6 at its relaxed geometry.

Computed properties:
formation energy	-0.49	eV per atom
raw total energy	-3.9022	eV per atom
M_tot	0.0	Bohr magnetons per cell

a = 4.432 Å, b = 19.905 Å, c = 15.969 Å
α = 90.00°, β = 90.00°, γ = 90.00°
Space group Cmc2_1 (No. 36)
Symmetry-distinct sites (fractional):
Sm 0.000 0.015 0.000
Sm 0.000 0.034 0.265
Sm 0.000 0.163 0.800
Sm 0.000 0.174 0.442
Cd 0.000 0.154 0.123
Cd 0.000 0.301 0.118
Cd 0.000 0.342 0.773
Cd 0.000 0.350 0.476
Cd 0.000 0.438 0.181
Ge 0.000 0.111 0.610
Ge 0.000 0.228 0.973
Ge 0.000 0.236 0.269
Ge 0.000 0.432 0.909
Ge 0.000 0.433 0.627
Ge 0.000 0.447 0.353